No. 1
ErHfHg: relaxed, PBE-GGA.

Structure (extended XYZ):
```
6
Lattice="-2.1034 1.5880 -3.5547 1.2388 -3.5573 -2.3222 -6.3806 -3.6285 2.1545" Properties=species:S:1:pos:R:3 pbc="T T T"
Hf -3.6226 -2.7989 -1.8612
Hf -3.1903 -1.8143 1.0773
Er -2.0564 0.2226 -1.4381
Er -4.7565 -4.8358 0.6542
Hg -5.9329 -1.9818 -0.1291
Hg -0.8800 -2.6313 -0.6548
```

Computed properties:
total moment: 0.000 μB per atom
E_form: -0.1449 eV per atom
relative energy among the computed polymorphs: 24 meV per atom

No. 2
Pa2BeAgO8: relaxed, PBE-GGA.

Structure (extended XYZ):
```
12
Lattice="4.7297 0.0000 0.0000 -2.3649 4.0961 0.0000 0.0000 0.0000 8.0318" Properties=species:S:1:pos:R:3 pbc="T T T"
Pa 0.0000 2.7307 6.6752
O 1.1836 0.6833 6.9160
Pa 2.3649 1.3654 1.3566
O 1.1813 3.4127 1.1159
O -1.1813 3.4127 1.1159
O 0.0000 1.3667 1.1159
O 0.0000 2.7307 4.7603
O 3.5461 0.6833 6.9160
O 2.3649 2.7294 6.9160
O 2.3649 1.3654 3.2715
Ag 0.0000 0.0000 4.0159
Be 0.0000 0.0000 0.0000
```

Computed properties:
total moment: 0.159 μB per atom
formation energy from raw total energies: -2021 meV per atom